## MgSiOs4 (GGA-PBE)

Data for a geometry-optimized MgSiOs4 structure.

It has space group F-43m (No. 216), with a = 7.314 Å, b = 7.314 Å, c = 7.314 Å, α = 90.00°, β = 90.00° and γ = 90.00°. Symmetry generates all atoms from Mg at (0.000, 0.000, 0.000), Si at (0.250, 0.250, 0.250) and Os at (0.125, 0.125, 0.625).

As for the uncorrected formation energy: 0.66 eV per atom. The calculation puts the total energy at -191.880 eV per cell. The calculation puts the density of states at the Fermi level at 1.289 states/eV/atom.